(1)
! YGa3CoAu PBE-GGA optimized geometry; values from VASP
! Energy of formation, eV per atom: -0.318
! Calculated volume, Å³ per cell: 217.7
&SYSTEM
  ibrav = 0, nat = 12, ntyp = 4
/
ATOMIC_SPECIES
Y 88.91 Y.upf
Ga 69.72 Ga.upf
Co 58.93 Co.upf
Au 196.97 Au.upf
CELL_PARAMETERS angstrom
3.043 -6.181 0.000
3.043 6.181 0.000
0.000 0.000 5.787
ATOMIC_POSITIONS crystal
Y 0.232 0.768 0.750
Y 0.768 0.232 0.250
Ga 0.209 0.209 0.000
Ga 0.209 0.209 0.500
Ga 0.365 0.635 0.250
Ga 0.635 0.365 0.750
Ga 0.791 0.791 0.000
Ga 0.791 0.791 0.500
Co 0.440 0.560 0.750
Co 0.560 0.440 0.250
Au 0.159 0.841 0.250
Au 0.841 0.159 0.750

***

(2)
! CsSr3Pd PBE-GGA optimized geometry; values from VASP
! Energy of formation, eV per atom: -0.240
! Calculated volume, Å³ per cell: 270.3
&SYSTEM
  ibrav = 0, nat = 5, ntyp = 3
/
ATOMIC_SPECIES
Cs 132.91 Cs.upf
Sr 87.62 Sr.upf
Pd 106.42 Pd.upf
CELL_PARAMETERS angstrom
4.583 0.000 0.000
0.000 6.107 0.000
0.000 0.000 9.656
ATOMIC_POSITIONS crystal
Cs 0.000 0.000 0.000
Sr 0.000 0.000 0.500
Sr 0.500 0.500 0.293
Sr 0.500 0.500 0.707
Pd 0.000 0.500 0.500

***

(3)
! LaNiP2Ir2 PBE-GGA optimized geometry; values from VASP
! Energy of formation, eV per atom: -0.703
! Calculated volume, Å³ per cell: 223.7
&SYSTEM
  ibrav = 0, nat = 12, ntyp = 4
/
ATOMIC_SPECIES
La 138.91 La.upf
Ni 58.69 Ni.upf
P 30.97 P.upf
Ir 192.22 Ir.upf
CELL_PARAMETERS angstrom
6.025 0.000 0.000
0.000 9.291 0.000
0.000 0.000 3.996
ATOMIC_POSITIONS crystal
La 0.000 0.000 0.000
La 0.500 0.500 0.500
Ni 0.000 0.500 0.000
Ni 0.500 0.000 0.500
P 0.204 0.310 0.000
P 0.296 0.810 0.500
P 0.704 0.190 0.500
P 0.796 0.690 0.000
Ir 0.010 0.323 0.500
Ir 0.490 0.823 0.000
Ir 0.510 0.177 0.000
Ir 0.990 0.677 0.500

***

(4)
! BaSb2H PBE-GGA optimized geometry; values from VASP
! Calculated volume, Å³ per cell: 120.9
! Raw total energy, eV per atom: -2.97
&SYSTEM
  ibrav = 0, nat = 4, ntyp = 3
/
ATOMIC_SPECIES
Ba 137.33 Ba.upf
Sb 121.76 Sb.upf
H 1.01 H.upf
CELL_PARAMETERS angstrom
0.000 3.924 3.924
3.924 0.000 3.924
3.924 3.924 0.000
ATOMIC_POSITIONS crystal
Ba 0.000 0.000 0.000
Sb 0.250 0.250 0.250
Sb 0.750 0.750 0.750
H 0.500 0.500 0.500

***

(5)
! MoIr2Os PBE-GGA optimized geometry; values from VASP
! Energy of formation, eV per atom: 0.501
! Calculated volume, Å³ per cell: 60.8
&SYSTEM
  ibrav = 0, nat = 4, ntyp = 3
/
ATOMIC_SPECIES
Mo 95.94 Mo.upf
Ir 192.22 Ir.upf
Os 190.23 Os.upf
CELL_PARAMETERS angstrom
0.000 3.121 3.121
3.121 0.000 3.121
3.121 3.121 0.000
ATOMIC_POSITIONS crystal
Mo 0.000 0.000 0.000
Ir 0.250 0.250 0.250
Ir 0.750 0.750 0.750
Os 0.500 0.500 0.500

***

(6)
! Nd5CoHg2 PBE-GGA optimized geometry; values from VASP
! Energy of formation, eV per atom: -0.267
! Calculated volume, Å³ per cell: 463.7
&SYSTEM
  ibrav = 0, nat = 16, ntyp = 3
/
ATOMIC_SPECIES
Nd 144.24 Nd.upf
Co 58.93 Co.upf
Hg 200.59 Hg.upf
CELL_PARAMETERS angstrom
8.146 0.000 0.000
0.000 11.759 0.000
0.000 0.000 4.841
ATOMIC_POSITIONS crystal
Nd 0.000 0.000 0.000
Nd 0.137 0.303 0.000
Nd 0.180 0.574 0.500
Nd 0.320 0.074 0.500
Nd 0.363 0.803 0.000
Nd 0.500 0.500 0.000
Nd 0.637 0.197 0.000
Nd 0.680 0.926 0.500
Nd 0.820 0.426 0.500
Nd 0.863 0.697 0.000
Co 0.000 0.500 0.000
Co 0.500 0.000 0.000
Hg 0.072 0.834 0.500
Hg 0.428 0.334 0.500
Hg 0.572 0.666 0.500
Hg 0.928 0.166 0.500

***

(7)
! HoGa6Ag PBE-GGA optimized geometry; values from VASP
! Energy of formation, eV per atom: -0.202
! Calculated volume, Å³ per cell: 154.5
&SYSTEM
  ibrav = 0, nat = 8, ntyp = 3
/
ATOMIC_SPECIES
Ho 164.93 Ho.upf
Ga 69.72 Ga.upf
Ag 107.87 Ag.upf
CELL_PARAMETERS angstrom
3.482 -5.021 0.000
3.482 5.021 0.000
0.000 0.000 4.417
ATOMIC_POSITIONS crystal
Ho 0.000 0.000 0.000
Ga 0.000 0.500 0.000
Ga 0.218 0.782 0.500
Ga 0.293 0.293 0.500
Ga 0.500 0.000 0.000
Ga 0.707 0.707 0.500
Ga 0.782 0.218 0.500
Ag 0.500 0.500 0.000

***

(8)
! NbMo3Rh6 PBE-GGA optimized geometry; values from VASP
! Energy of formation, eV per atom: -0.257
! Calculated volume, Å³ per cell: 298.9
&SYSTEM
  ibrav = 0, nat = 20, ntyp = 3
/
ATOMIC_SPECIES
Nb 92.91 Nb.upf
Mo 95.94 Mo.upf
Rh 102.91 Rh.upf
CELL_PARAMETERS angstrom
8.733 0.000 0.000
0.000 3.898 0.000
-0.051 0.000 8.780
ATOMIC_POSITIONS crystal
Nb 0.058 0.250 0.382
Nb 0.942 0.750 0.618
Mo 0.250 0.250 0.999
Mo 0.348 0.750 0.798
Mo 0.448 0.250 0.601
Mo 0.552 0.750 0.399
Mo 0.652 0.250 0.202
Mo 0.750 0.750 0.001
Rh 0.055 0.750 0.903
Rh 0.149 0.250 0.701
Rh 0.153 0.750 0.198
Rh 0.248 0.750 0.499
Rh 0.359 0.250 0.300
Rh 0.454 0.750 0.100
Rh 0.546 0.250 0.900
Rh 0.641 0.750 0.700
Rh 0.752 0.250 0.501
Rh 0.847 0.250 0.802
Rh 0.851 0.750 0.299
Rh 0.945 0.250 0.097

***

These records have total moment values of 0.00, 0.00, 0.00, 0.72, 0.38, 0.00, 0.00, 0.00 μB per formula unit, in the order they appear.
These records have D(E_F) values of 5.271, 3.612, 6.302, 2.500, 6.966, 18.845, 2.529, 16.957 states/eV per cell, in the order they appear.